Material: YAg
Method: DFT, PBE
State: optimized geometry

For the formation enthalpy at 0 K, the calculation gives 0.045 eV per atom.

It has space group P4/m (No. 83), with a = 10.960 Å, b = 10.960 Å, c = 3.773 Å, α = 90.00°, β = 90.00° and γ = 90.00°. Symmetry generates all atoms from Y at (0.121, 0.630, 0.000), Y at (0.160, 0.347, 0.500), Ag at (0.080, 0.159, 0.000) and Ag at (0.330, 0.564, 0.500).

Material: Ga3PPb
Method: DFT, PBE
State: optimized geometry

For the formation enthalpy at 0 K, the calculation gives 0.975 eV per atom. The value obtained for the energy above the lowest structure with this stoichiometry is 739 meV per atom.

It has space group Pm-3m (No. 221), with a = 5.352 Å, b = 5.352 Å, c = 5.352 Å, α = 90.00°, β = 90.00° and γ = 90.00°. Symmetry generates all atoms from Ga at (0.000, 0.000, 0.500), P at (0.500, 0.500, 0.500) and Pb at (0.000, 0.000, 0.000).

Material: La3Pd2Au9
Method: DFT, PBE
State: optimized geometry

For the formation enthalpy at 0 K, the calculation gives -0.636 eV per atom.

It has space group Immm (No. 71), with a = 4.655 Å, b = 10.057 Å, c = 13.057 Å, α = 90.00°, β = 90.00° and γ = 90.00°. Symmetry generates all atoms from La at (0.000, 0.000, 0.000), La at (0.000, 0.000, 0.305), Pd at (0.000, 0.167, 0.500), Au at (0.000, 0.276, 0.123), Au at (0.000, 0.364, 0.338) and Au at (0.000, 0.500, 0.000).

Material: PmPrCdSb
Method: DFT, PBE
State: optimized geometry

The value obtained for the energy relative to the elements, uncorrected is -588 meV/atom.

It has space group F-43m (No. 216), with a = 7.714 Å, b = 7.714 Å, c = 7.714 Å, α = 90.00°, β = 90.00° and γ = 90.00°. Symmetry generates all atoms from Pm at (0.000, 0.000, 0.000), Pr at (0.000, 0.000, 0.500), Cd at (0.250, 0.250, 0.750) and Sb at (0.250, 0.250, 0.250).

Material: Tb2CdTe
Method: DFT, PBE
State: optimized geometry

The value obtained for the energy relative to the elements, uncorrected is -695 meV/atom. The value obtained for the energy above the lowest structure with this stoichiometry is 47 meV per atom.

It has space group R3m (No. 160, hexagonal axes), with a = 4.0385 Å, b = 4.0385 Å, c = 25.1789 Å, α = 90.00°, β = 90.00° and γ = 120.00°. Symmetry generates all atoms from Tb at (0.0000, 0.0000, 0.0000), Tb at (0.0000, 0.0000, 0.1647), Cd at (0.0000, 0.0000, 0.5829) and Te at (0.0000, 0.0000, 0.4150).

Material: ZrTl2HgBr6
Method: DFT, PBE
State: optimized geometry

The value obtained for the energy relative to the elements, uncorrected is -1040 meV/atom.

It has space group P1 (No. 1), with a = 8.091 Å, b = 8.118 Å, c = 8.791 Å, α = 90.15°, β = 117.38° and γ = 119.84°. Symmetry generates all atoms from Zr at (0.000, 0.000, 0.000), Tl at (0.317, 0.657, 0.976), Tl at (0.372, 0.185, 0.556), Hg at (0.994, 0.497, 0.491), Br at (0.141, 0.188, 0.796), Br at (0.173, 0.350, 0.213), Br at (0.391, 0.040, 0.212), Br at (0.607, 0.954, 0.799), Br at (0.844, 0.654, 0.798) and Br at (0.864, 0.824, 0.214).

Material: NaLiSnO3
Method: DFT, PBE
State: optimized geometry

The value obtained for the energy relative to the elements, uncorrected is -1736 meV/atom.

It has space group P2_1/m (No. 11), with a = 5.833 Å, b = 3.241 Å, c = 7.930 Å, α = 90.00°, β = 99.50° and γ = 90.00°. Symmetry generates all atoms from Na at (0.106, 0.250, 0.185), Li at (0.173, 0.750, 0.533), Sn at (0.391, 0.250, 0.819), O at (0.077, 0.250, 0.667), O at (0.296, 0.750, 0.990) and O at (0.493, 0.250, 0.307).

Material: La6AgHg
Method: DFT, PBE
State: optimized geometry

For the formation enthalpy at 0 K, the calculation gives -0.097 eV per atom. The value obtained for the energy above the lowest structure with this stoichiometry is 88 meV per atom.

It has space group P-1 (No. 2), with a = 6.380 Å, b = 6.388 Å, c = 6.395 Å, α = 93.96°, β = 94.00° and γ = 94.10°. Symmetry generates all atoms from La at (0.033, 0.250, 0.055), La at (0.250, 0.945, 0.466), La at (0.445, 0.467, 0.750), Ag at (0.000, 0.500, 0.500) and Hg at (0.500, 0.000, 0.000).

Calculated total energy for every record listed, in sequence, given in eV per atom: -4.613; -2.664; -4.541; -4.230; -4.025; -3.402; -5.421; -4.187.
Volume for every record listed, in sequence, given in Å³/atom: 28.33; 30.67; 21.83; 28.69; 29.64; 42.42; 12.32; 32.33.